1.
CaHg2Ru2 | GGA-PBEsol | relaxed

Summary:
The value obtained for the uncorrected energy is -4.436 eV/atom. The calculated formation energy comes out at 0.29 eV per atom.

CIF file:
```
data_CaHg2Ru2
_chemical_formula_sum 'Ca2 Hg4 Ru4'
_space_group_name_H-M_alt 'I 4/m m m'
_space_group_IT_number 139
_space_group_name_Hall '-I 4 2'
_cell_length_a 4.740
_cell_length_b 4.740
_cell_length_c 9.388
_cell_angle_alpha 90.00
_cell_angle_beta 90.00
_cell_angle_gamma 90.00
loop_
_atom_site_label
_atom_site_type_symbol
_atom_site_fract_x
_atom_site_fract_y
_atom_site_fract_z
_atom_site_occupancy
Ca1 Ca 0.000 0.000 0.000 1
Hg1 Hg 0.000 0.500 0.250 1
Ru1 Ru 0.000 0.000 0.384 1
```

---

2.
CaHg2Ru | GGA-PBEsol | relaxed

Summary:
The value obtained for the uncorrected energy is -3.299 eV/atom. The calculated formation energy comes out at 0.06 eV per atom.

CIF file:
```
data_CaHg2Ru
_chemical_formula_sum 'Ca1 Hg2 Ru1'
_space_group_name_H-M_alt 'P 4/m m m'
_space_group_IT_number 123
_space_group_name_Hall '-P 4 2'
_cell_length_a 3.514
_cell_length_b 3.514
_cell_length_c 6.418
_cell_angle_alpha 90.00
_cell_angle_beta 90.00
_cell_angle_gamma 90.00
loop_
_atom_site_label
_atom_site_type_symbol
_atom_site_fract_x
_atom_site_fract_y
_atom_site_fract_z
_atom_site_occupancy
Ca1 Ca 0.000 0.000 0.000 1
Hg1 Hg 0.500 0.500 0.279 1
Ru1 Ru 0.000 0.000 0.500 1
```